(1)
Here is MgPIr2 after structural relaxation from the Alexandria database. Energies are from PBE.

POSCAR file:
```
MgPIr2
1.0
3.0750 0.0000 0.0000
0.0000 3.6295 0.0000
-0.0096 0.0000 5.6520
Mg P Ir
1 1 2
direct
0.0000 0.0000 0.0000
0.5000 0.0000 0.5000
0.4995 0.5000 0.7479
0.5005 0.5000 0.2521
```

As for the uncorrected energy: -25.8 eV/cell. For the mass density, the calculation gives 11.58 g/cm³. Its crystal system is monoclinic. As for the space-group type: P2/m (10). For the formation energy, the calculation gives -1.08 eV per formula unit. The value obtained for the total magnetic moment is 0.00 μB per cell.

(2)
Here is Gd5Fe2B6 after structural relaxation from the Alexandria database. Energies are from PBE.

POSCAR file:
```
Gd5Fe2B6
1.0
2.7105 1.5649 7.7841
-2.7105 1.5649 7.7841
0.0000 -3.1298 7.7841
Gd Fe B
5 2 6
direct
0.0000 0.0000 0.0000
0.2512 0.2512 0.2512
0.4165 0.4165 0.4165
0.5835 0.5835 0.5835
0.7488 0.7488 0.7488
0.1181 0.1181 0.1181
0.8819 0.8819 0.8819
0.1678 0.5000 0.8322
0.1678 0.8322 0.5000
0.5000 0.1678 0.8322
0.5000 0.8322 0.1678
0.8322 0.1678 0.5000
0.8322 0.5000 0.1678
```

As for the uncorrected energy: -133.5 eV/cell. For the mass density, the calculation gives 8.07 g/cm³. Its crystal system is trigonal. As for the space-group type: R-3m (166). For the formation energy, the calculation gives -6.11 eV per formula unit. The value obtained for the total magnetic moment is 6.35 μB per cell.

(3)
Here is Li2SnF4 after structural relaxation from the Alexandria database. Energies are from PBE.

POSCAR file:
```
Li2SnF4
1.0
-2.3521 2.3521 5.6702
2.3521 -2.3521 5.6702
2.3521 2.3521 -5.6702
Li Sn F
2 1 4
direct
0.1436 0.1436 0.0000
0.8564 0.8564 0.0000
0.5000 0.5000 0.0000
0.0000 0.5000 0.5000
0.2968 0.2968 0.0000
0.5000 0.0000 0.5000
0.7032 0.7032 0.0000
```

As for the uncorrected energy: -31.4 eV/cell. For the mass density, the calculation gives 2.76 g/cm³. Its crystal system is tetragonal. As for the space-group type: I4/mmm (139). The calculation puts the formation energy from raw total energies at -2.297 eV/atom. The value obtained for the total magnetic moment is 0.00 μB per cell.

Please write out number 2 again, unchanged.
Here is Gd5Fe2B6 after structural relaxation from the Alexandria database. Energies are from PBE.

POSCAR file:
```
Gd5Fe2B6
1.0
2.7105 1.5649 7.7841
-2.7105 1.5649 7.7841
0.0000 -3.1298 7.7841
Gd Fe B
5 2 6
direct
0.0000 0.0000 0.0000
0.2512 0.2512 0.2512
0.4165 0.4165 0.4165
0.5835 0.5835 0.5835
0.7488 0.7488 0.7488
0.1181 0.1181 0.1181
0.8819 0.8819 0.8819
0.1678 0.5000 0.8322
0.1678 0.8322 0.5000
0.5000 0.1678 0.8322
0.5000 0.8322 0.1678
0.8322 0.1678 0.5000
0.8322 0.5000 0.1678
```

As for the uncorrected energy: -133.5 eV/cell. For the mass density, the calculation gives 8.07 g/cm³. Its crystal system is trigonal. As for the space-group type: R-3m (166). For the formation energy, the calculation gives -6.11 eV per formula unit. The value obtained for the total magnetic moment is 6.35 μB per cell.